1.
KNbIr2 | SCAN | PBEsol geometry

abc: 4.5967 4.5967 4.5967
angles: 60.00 60.00 60.00
Closest atoms and distances in Å follow each position.
Fractional positions:
1 K 0.0000 0.0000 0.0000  8 Ir 2.81
2 Nb 0.5000 0.5000 0.5000  8 Ir 2.81
3 Ir 0.2500 0.2500 0.2500  4 Nb 2.81, 4 K 2.81
4 Ir 0.7500 0.7500 0.7500  4 Nb 2.81, 4 K 2.81

Properties
E: -45.261 eV per atom
Space-group type: Fm-3m, No. 225

---

2.
LiNbSe2Cl | SCAN | PBEsol geometry

abc: 4.8393 4.8393 6.8791
angles: 90.00 90.00 90.00
Closest atoms and distances in Å follow each position.
Fractional positions:
1 Li 0.0000 0.0000 0.0000  4 Cl 3.42, 2 Nb 3.44
2 Nb 0.0000 0.0000 0.5000  4 Se 2.42
3 Se 0.0000 0.5000 0.5000  2 Nb 2.42
4 Se 0.5000 0.0000 0.5000  2 Nb 2.42
5 Cl 0.5000 0.5000 0.0000  4 Li 3.42

Properties
Space-group type: P4/mmm, No. 123
ΔE_f (raw): -30 kJ/mol of atoms

---

3.
TiFe3Tc | SCAN | PBEsol geometry

abc: 4.1367 4.1367 4.1367
angles: 90.00 90.00 90.00
Closest atoms and distances in Å follow each position.
Fractional positions:
1 Ti 0.0000 0.0000 0.0000  6 Fe 2.07
2 Fe 0.0000 0.0000 0.5000  2 Ti 2.07
3 Fe 0.0000 0.5000 0.0000  2 Ti 2.07
4 Fe 0.5000 0.0000 0.0000  2 Ti 2.07
5 Tc 0.5000 0.5000 0.5000  12 Fe 2.93

Properties
E: -19.698 eV per atom
Space-group type: Pm-3m, No. 221

---

4.
In2SbMo | SCAN | PBEsol geometry

abc: 7.1455 7.1455 7.1455
angles: 156.14 140.60 46.58
Closest atoms and distances in Å follow each position.
Fractional positions:
1 In 0.0000 0.0000 0.0000  2 Mo 2.89, 2 In 2.95
2 In 0.6772 0.1772 0.5000  4 Mo 2.83, 2 In 2.95
3 Sb 0.3697 0.3697 0.0000  2 Mo 2.79, 2 Sb 2.95
4 Mo 0.1896 0.6896 0.5000  2 Sb 2.79, 6 In 2.83-2.89, 2 Mo 2.95

Properties
Space-group type: Imm2, No. 44
ΔE_f (raw): 23 kJ/mol of atoms

---

5.
K3InSb | SCAN | PBEsol geometry

abc: 6.2854 6.2854 6.2854
angles: 90.00 90.00 90.00
Closest atoms and distances in Å follow each position.
Fractional positions:
1 K 0.0000 0.0000 0.5000  2 In 3.14
2 K 0.0000 0.5000 0.0000  2 In 3.14
3 K 0.5000 0.0000 0.0000  2 In 3.14
4 In 0.0000 0.0000 0.0000  6 K 3.14
5 Sb 0.5000 0.5000 0.5000  12 K 4.44

Properties
Space-group type: Pm-3m, No. 221
ΔE_f (raw): 30 kJ/mol of atoms

---

6.
NaLiICl | SCAN | PBEsol geometry

abc: 4.0310 4.0310 6.0719
angles: 90.00 90.00 90.00
Closest atoms and distances in Å follow each position.
Fractional positions:
1 Na 0.0000 0.0000 0.0000  4 Cl 2.85, 2 I 3.04
2 Li 0.5000 0.5000 0.5000  4 I 2.85, 2 Cl 3.04
3 I 0.0000 0.0000 0.5000  4 Li 2.85, 2 Na 3.04
4 Cl 0.5000 0.5000 0.0000  4 Na 2.85, 2 Li 3.04

Properties
Space-group type: P4/mmm, No. 123
ΔE_f (raw): -157 kJ/mol of atoms

---

7.
Mg3IrF | SCAN | PBEsol geometry

abc: 4.1760 4.1760 4.1760
angles: 90.00 90.00 90.00
Closest atoms and distances in Å follow each position.
Fractional positions:
1 Mg 0.0000 0.0000 0.5000  2 F 2.09
2 Mg 0.0000 0.5000 0.0000  2 F 2.09
3 Mg 0.5000 0.0000 0.0000  2 F 2.09
4 Ir 0.5000 0.5000 0.5000  12 Mg 2.95
5 F 0.0000 0.0000 0.0000  6 Mg 2.09

Properties
Space-group type: Pm-3m, No. 221
ΔE_f (raw): -106 kJ/mol of atoms

---

8.
Zr5Re24 | SCAN | PBEsol geometry

abc: 8.3944 8.3944 8.3944
angles: 109.47 109.47 109.47
Closest atoms and distances in Å follow each position.
Fractional positions:
1 Zr 0.0000 0.0000 0.0000  12 Re 3.04, 4 Zr 3.11
2 Zr 0.0000 0.0000 0.3710  12 Re 2.76-3.07
3 Zr 0.0000 0.3710 0.0000  12 Re 2.76-3.07
4 Zr 0.3710 0.0000 0.0000  12 Re 2.76-3.07
5 Zr 0.6290 0.6290 0.6290  12 Re 2.76-3.07
6 Re 0.0000 0.3224 0.6027  5 Re 2.53-2.81, 1 Zr 2.76
7 Re 0.0000 0.6027 0.3224  5 Re 2.53-2.81, 1 Zr 2.76
8 Re 0.0000 0.6229 0.8060  6 Re 2.51-2.75
9 Re 0.0000 0.8060 0.6229  6 Re 2.51-2.75
10 Re 0.1832 0.3771 0.3771  6 Re 2.51-2.75
11 Re 0.1940 0.1940 0.8168  6 Re 2.51-2.75
12 Re 0.1940 0.8168 0.1940  6 Re 2.51-2.75
13 Re 0.2803 0.6776 0.6776  5 Re 2.53-2.81, 1 Zr 2.76
14 Re 0.3224 0.0000 0.6027  5 Re 2.53-2.81, 1 Zr 2.76
15 Re 0.3224 0.6027 0.0000  5 Re 2.53-2.81, 1 Zr 2.76
16 Re 0.3771 0.1832 0.3771  6 Re 2.51-2.75
17 Re 0.3771 0.3771 0.1832  6 Re 2.51-2.75
18 Re 0.3973 0.3973 0.7197  5 Re 2.53-2.81, 1 Zr 2.76
19 Re 0.3973 0.7197 0.3973  5 Re 2.53-2.81, 1 Zr 2.76
20 Re 0.6027 0.0000 0.3224  5 Re 2.53-2.81, 1 Zr 2.76
21 Re 0.6027 0.3224 0.0000  5 Re 2.53-2.81, 1 Zr 2.76
22 Re 0.6229 0.0000 0.8060  6 Re 2.51-2.75
23 Re 0.6229 0.8060 0.0000  6 Re 2.51-2.75
24 Re 0.6776 0.2803 0.6776  5 Re 2.53-2.81, 1 Zr 2.76
25 Re 0.6776 0.6776 0.2803  5 Re 2.53-2.81, 1 Zr 2.76
26 Re 0.7197 0.3973 0.3973  5 Re 2.53-2.81, 1 Zr 2.76
27 Re 0.8060 0.0000 0.6229  6 Re 2.51-2.75
28 Re 0.8060 0.6229 0.0000  6 Re 2.51-2.75
29 Re 0.8168 0.1940 0.1940  6 Re 2.51-2.75

Properties
E: -64.434 eV per atom
Space-group type: I-43m, No. 217

---

9.
BeHg3Ge | SCAN | PBEsol geometry

abc: 4.6984 4.6984 4.6984
angles: 90.00 90.00 90.00
Closest atoms and distances in Å follow each position.
Fractional positions:
1 Be 0.0000 0.0000 0.0000  6 Hg 2.35
2 Hg 0.0000 0.0000 0.5000  2 Be 2.35
3 Hg 0.0000 0.5000 0.0000  2 Be 2.35
4 Hg 0.5000 0.0000 0.0000  2 Be 2.35
5 Ge 0.5000 0.5000 0.5000  12 Hg 3.32

Properties
E: -45.173 eV per atom
Space-group type: Pm-3m, No. 221

---

10.
Si2HgP2 | SCAN | PBEsol geometry

abc: 5.2607 5.2607 5.2607
angles: 129.39 129.39 74.38
Closest atoms and distances in Å follow each position.
Fractional positions:
1 Si 0.1453 0.1453 0.0000  4 P 2.41, 1 Si 2.44
2 Si 0.8547 0.8547 0.0000  4 P 2.41, 1 Si 2.44
3 Hg 0.5000 0.5000 0.0000  2 Si 2.97, 8 P 3.07
4 P 0.2500 0.7500 0.5000  4 Si 2.41
5 P 0.7500 0.2500 0.5000  4 Si 2.41

Properties
Space-group type: I4/mmm, No. 139
ΔE_f (raw): 19 kJ/mol of atoms

---

11.
KMgZr2 | SCAN | PBEsol geometry

abc: 12.4785 12.4785 12.4785
angles: 14.19 14.19 14.19
Closest atoms and distances in Å follow each position.
Fractional positions:
1 K 0.0000 0.0000 0.0000  6 K 3.08
2 Mg 0.5000 0.5000 0.5000  6 Mg 3.08, 6 Zr 3.23
3 Zr 0.2394 0.2394 0.2394  6 Zr 3.08, 3 Mg 3.23
4 Zr 0.7606 0.7606 0.7606  6 Zr 3.08, 3 Mg 3.23

Properties
E: -18.207 eV per atom
Space-group type: R-3m, No. 166

---

12.
Co5Rh | SCAN | PBEsol geometry

abc: 4.6632 4.6632 4.6632
angles: 129.81 116.17 85.33
Closest atoms and distances in Å follow each position.
Fractional positions:
1 Co 0.0000 0.0000 0.0000  2 Rh 2.47, 12 Co 2.59-2.61
2 Co 0.0802 0.3336 0.7466  5 Co 2.28-2.50
3 Co 0.4129 0.6664 0.7466  5 Co 2.28-2.50
4 Co 0.5871 0.3336 0.2534  5 Co 2.28-2.50
5 Co 0.9198 0.6664 0.2534  5 Co 2.28-2.50
6 Rh 0.5000 0.0000 0.5000  14 Co 2.47-2.60

Properties
E: -19.994 eV per atom
Space-group type: Immm, No. 71